! LiErLuCr, optimized geometry, DFT GGA-PBE; values from VASP
&SYSTEM
  ibrav = 0, nat = 16, ntyp = 4
/
ATOMIC_SPECIES
Li 6.94 Li.upf
Er 167.26 Er.upf
Lu 174.97 Lu.upf
Cr 52.00 Cr.upf
CELL_PARAMETERS angstrom
7.0716 0.0000 0.0000
0.0000 7.0716 0.0000
0.0000 0.0000 7.0716
ATOMIC_POSITIONS angstrom
Li 0.0000 0.0000 0.0000
Li 0.0000 3.5358 3.5358
Li 3.5358 0.0000 3.5358
Li 3.5358 3.5358 0.0000
Er 1.7679 1.7679 1.7679
Er 1.7679 5.3037 5.3037
Er 5.3037 1.7679 5.3037
Er 5.3037 5.3037 1.7679
Lu 1.7679 1.7679 5.3037
Lu 1.7679 5.3037 1.7679
Lu 5.3037 1.7679 1.7679
Lu 5.3037 5.3037 5.3037
Cr 0.0000 0.0000 3.5358
Cr 0.0000 3.5358 0.0000
Cr 3.5358 0.0000 0.0000
Cr 3.5358 3.5358 3.5358
! Final energy = -4.997 eV/atom
! Energy of formation = 0.16 eV/atom